Entry 1:
Material: LiYAl2Tl
Method: DFT, PBE
State: relaxed

Lattice parameters (Å, degrees): 5.590 5.590 5.771 90.00 90.00 90.00
Space group P4/mmm (No. 123)
Unique sites:
Li 0.000 0.000 0.000 (multiplicity 1)
Y 0.000 0.000 0.500 (multiplicity 1)
Al 0.000 0.500 0.500 (multiplicity 2)
Tl 0.500 0.500 0.000 (multiplicity 1)

Computed properties:
Crystal system: tetragonal
Density of states at the Fermi level in states/eV/atom: 1.589
Total DFT energy (no corrections) in eV/atom: -2.745
E_form in eV/atom: 0.90



Entry 2:
Material: LiYAlTl
Method: DFT, PBE
State: relaxed

Lattice parameters (Å, degrees): 7.139 7.139 7.139 90.00 90.00 90.00
Space group F-43m (No. 216)
Unique sites:
Li 0.000 0.000 0.000 (multiplicity 4)
Y 0.000 0.000 0.500 (multiplicity 4)
Al 0.250 0.250 0.250 (multiplicity 4)
Tl 0.250 0.250 0.750 (multiplicity 4)

Computed properties:
Crystal system: cubic
Density of states at the Fermi level in states/eV/atom: 0.291
Total DFT energy (no corrections) in eV/atom: -3.868
E_form in eV/atom: -0.25



Entry 3:
Material: LiAlTlZn
Method: DFT, PBE
State: relaxed

Lattice parameters (Å, degrees): 6.757 6.757 6.757 90.00 90.00 90.00
Space group F-43m (No. 216)
Unique sites:
Li 0.000 0.000 0.000 (multiplicity 4)
Al 0.000 0.000 0.500 (multiplicity 4)
Tl 0.250 0.250 0.250 (multiplicity 4)
Zn 0.250 0.250 0.750 (multiplicity 4)

Computed properties:
Crystal system: cubic
Density of states at the Fermi level in states/eV/atom: 0.587
Total DFT energy (no corrections) in eV/atom: -2.295
E_form in eV/atom: 0.03



Entry 4:
Material: LiZr2AlTl
Method: DFT, PBE
State: relaxed

Lattice parameters (Å, degrees): 4.792 4.792 4.506 90.00 90.00 90.00
Space group P4/mmm (No. 123)
Unique sites:
Li 0.000 0.000 0.000 (multiplicity 1)
Zr 0.000 0.500 0.000 (multiplicity 2)
Al 0.000 0.000 0.500 (multiplicity 1)
Tl 0.500 0.500 0.500 (multiplicity 1)

Computed properties:
Crystal system: tetragonal
Density of states at the Fermi level in states/eV/atom: 0.524
Total DFT energy (no corrections) in eV/atom: -4.641
E_form in eV/atom: 0.38



Entry 5:
Material: LiTm6Al2
Method: DFT, PBE
State: relaxed

Lattice parameters (Å, degrees): 15.753 7.124 4.928 90.00 108.17 90.00
Space group C2/m (No. 12)
Unique sites:
Li 0.000 0.000 0.000 (multiplicity 2)
Tm 0.000 0.254 0.500 (multiplicity 4)
Tm 0.168 0.250 0.168 (multiplicity 8)
Al 0.167 0.500 0.667 (multiplicity 4)

Computed properties:
Crystal system: monoclinic
Density of states at the Fermi level in states/eV/atom: 1.144
Total DFT energy (no corrections) in eV/atom: -3.865
E_form in eV/atom: 0.16



Entry 6:
Material: Li3TmAl3
Method: DFT, PBE
State: relaxed

Lattice parameters (Å, degrees): 6.688 6.688 6.688 90.00 90.00 90.00
Space group Pm-3n (No. 223)
Unique sites:
Li 0.000 0.250 0.500 (multiplicity 6)
Tm 0.000 0.000 0.000 (multiplicity 2)
Al 0.000 0.500 0.250 (multiplicity 6)

Computed properties:
Crystal system: cubic
Density of states at the Fermi level in states/eV/atom: 0.466
Total DFT energy (no corrections) in eV/atom: -2.559
E_form in eV/atom: 0.50



Entry 7:
Material: LiTm2Al8
Method: DFT, PBE
State: relaxed

Lattice parameters (Å, degrees): 4.287 4.287 11.103 90.00 90.00 90.00
Space group P4/mmm (No. 123)
Unique sites:
Li 0.000 0.000 0.000 (multiplicity 1)
Tm 0.000 0.000 0.313 (multiplicity 2)
Al 0.000 0.500 0.126 (multiplicity 4)
Al 0.000 0.500 0.500 (multiplicity 2)
Al 0.500 0.500 0.305 (multiplicity 2)

Computed properties:
Crystal system: tetragonal
Density of states at the Fermi level in states/eV/atom: 0.333
Total DFT energy (no corrections) in eV/atom: -3.974
E_form in eV/atom: -0.27



Entry 8:
Material: LiTmAl4
Method: DFT, PBE
State: relaxed

Lattice parameters (Å, degrees): 7.724 7.724 7.724 90.00 90.00 90.00
Space group F-43m (No. 216)
Unique sites:
Li 0.000 0.000 0.000 (multiplicity 4)
Tm 0.250 0.250 0.750 (multiplicity 4)
Al 0.125 0.125 0.375 (multiplicity 16)

Computed properties:
Crystal system: cubic
Density of states at the Fermi level in states/eV/atom: 0.687
Total DFT energy (no corrections) in eV/atom: -3.819
E_form in eV/atom: -0.26



Entry 9:
Material: LiTm2Al
Method: DFT, PBE
State: relaxed

Lattice parameters (Å, degrees): 3.3887 3.3887 32.7541 90.00 90.00 120.00
Space group R-3m (No. 166, hexagonal axes)
Unique sites:
Li 0.0000 0.0000 0.0000 (multiplicity 3)
Tm 0.0000 0.0000 0.0972 (multiplicity 6)
Al 0.0000 0.0000 0.5000 (multiplicity 3)

Computed properties:
Crystal system: trigonal
Density of states at the Fermi level in states/eV/atom: 0.894
Total DFT energy (no corrections) in eV/atom: -3.565
E_form in eV/atom: 0.09



Entry 10:
Material: LiTm4Al
Method: DFT, PBE
State: relaxed

Lattice parameters (Å, degrees): 4.914 4.914 7.299 90.00 90.00 90.00
Space group P4/mmm (No. 123)
Unique sites:
Li 0.000 0.000 0.000 (multiplicity 1)
Tm 0.000 0.500 0.256 (multiplicity 4)
Al 0.500 0.500 0.500 (multiplicity 1)

Computed properties:
Crystal system: tetragonal
Density of states at the Fermi level in states/eV/atom: 1.233
Total DFT energy (no corrections) in eV/atom: -3.679
E_form in eV/atom: 0.24



Entry 11:
Material: LiTmAl3
Method: DFT, PBE
State: relaxed

Lattice parameters (Å, degrees): 3.273 26.915 4.493 90.00 90.00 90.00
Space group Cmcm (No. 63)
Unique sites:
Li 0.000 0.216 0.250 (multiplicity 4)
Tm 0.000 0.074 0.750 (multiplicity 4)
Al 0.000 0.322 0.250 (multiplicity 4)
Al 0.000 0.375 0.750 (multiplicity 4)
Al 0.000 0.475 0.750 (multiplicity 4)

Computed properties:
Crystal system: orthorhombic
Density of states at the Fermi level in states/eV/atom: 0.616
Total DFT energy (no corrections) in eV/atom: -3.794
E_form in eV/atom: -0.27



Entry 12:
Material: LiTm6Al5
Method: DFT, PBE
State: relaxed

Lattice parameters (Å, degrees): 5.056 15.194 7.066 90.00 90.00 90.00
Space group Cmmm (No. 65)
Unique sites:
Li 0.000 0.000 0.000 (multiplicity 2)
Tm 0.000 0.168 0.249 (multiplicity 8)
Tm 0.000 0.500 0.251 (multiplicity 4)
Al 0.000 0.000 0.500 (multiplicity 2)
Al 0.000 0.334 0.500 (multiplicity 4)
Al 0.000 0.339 0.000 (multiplicity 4)

Computed properties:
Crystal system: orthorhombic
Density of states at the Fermi level in states/eV/atom: 0.547
Total DFT energy (no corrections) in eV/atom: -4.307
E_form in eV/atom: -0.35